Entry from Alexandria via LeMat-Bulk: a geometry-optimized Co2Re structure (PBE).

a = 2.588 Å, b = 3.612 Å, c = 4.414 Å
α = 114.15°, β = 107.05°, γ = 90.00°
Sites, in units of the cell vectors:
Co 0.668 0.668 0.336
Co 0.332 0.332 0.664
Re 0.000 0.000 0.000

Results
For the density of states at the Fermi level, the calculation gives 4.3 states/eV/f.u. The distance to the lowest polymorph of the same formula comes out at 0.060 eV per atom. The space-group type is Immm (71). The calculation puts the total magnetization at 0.00 μB/atom.